# 1
# Ca2Zn3Cu12Ag (GGA-PBE, optimized geometry)
# E_form = 16.23 kJ/mol of atoms
data_Ca2Zn3Cu12Ag
_chemical_formula_sum 'Ca6 Zn9 Cu36 Ag3'
_symmetry_space_group_name_H-M 'R -3 m'
_symmetry_Int_Tables_number 166
_symmetry_space_group_name_Hall '-R 3 2"'
_cell_length_a 6.3214
_cell_length_b 6.3214
_cell_length_c 26.7803
_cell_angle_alpha 90.00
_cell_angle_beta 90.00
_cell_angle_gamma 120.00
loop_
_atom_site_label
_atom_site_fract_x
_atom_site_fract_y
_atom_site_fract_z
Ca1 0.0000 0.0000 0.1414
Zn1 0.0000 0.5000 0.0000
Cu1 0.0433 0.5216 0.9027
Cu2 0.0800 0.5400 0.6230
Ag1 0.0000 0.0000 0.5000

# 2
# Ca2ZnCuAg6 (GGA-PBE, optimized geometry)
# E_form = -9.72 kJ/mol of atoms
data_Ca2ZnCuAg6
_chemical_formula_sum 'Ca2 Zn1 Cu1 Ag6'
_symmetry_space_group_name_H-M 'P -1'
_symmetry_Int_Tables_number 2
_cell_length_a 5.548
_cell_length_b 6.748
_cell_length_c 6.769
_cell_angle_alpha 91.14
_cell_angle_beta 113.08
_cell_angle_gamma 113.03
loop_
_symmetry_equiv_pos_as_xyz
'x,y,z'
'-x,-y,-z'
loop_
_atom_site_label
_atom_site_fract_x
_atom_site_fract_y
_atom_site_fract_z
Ca1 0.247 0.256 0.236
Zn1 0.000 0.500 0.500
Cu1 0.500 0.000 0.000
Ag1 0.194 0.181 0.690
Ag2 0.252 0.574 0.927
Ag3 0.306 0.812 0.314

Q: Which energy values were calculated for the entries above? A: -170.41; -27.49, in eV for the cell shown.
Q: Which mass density values were calculated for the entries above? A: 6.164; 6.771, in g/cm3.